FeI3F | PBE with a Hubbard U | optimized geometry

Cell and atoms, written as CIF:
```
data_FeI3F
_cell_length_a 5.525
_cell_length_b 5.525
_cell_length_c 5.525
_cell_angle_alpha 90.00
_cell_angle_beta 90.00
_cell_angle_gamma 90.00
_symmetry_space_group_name_H-M 'P m -3 m'
_symmetry_Int_Tables_number 221
_symmetry_space_group_name_Hall '-P 4 2 3'
loop_
_atom_site_label
_atom_site_type_symbol
_atom_site_fract_x
_atom_site_fract_y
_atom_site_fract_z
Fe1 Fe 0.000 0.000 0.000
I1 I 0.000 0.000 0.500
F1 F 0.500 0.500 0.500
```

- Energy relative to the lowest polymorph listed for this composition: 0 meV/atom
- Energy: -11.6 eV per formula unit